12
Lattice="8.376 0.000 0.000 0.000 6.319 3.339 0.000 -6.319 3.339" Properties=species:S:1:pos:R:3 comment="Ag5GeTe4Br2 GGA-PBE relaxed" final_energy_ev_per_atom=-3.033 dos_ef_per_ev_atom=0.63 pbc="T T T"
Ag 0.000 0.000 0.000
Ag 2.276 -2.325 3.420
Ag 2.276 2.325 3.420
Ag 6.101 -2.325 3.420
Ag 6.101 2.325 3.420
Ge 4.188 0.000 0.476
Te 2.022 0.000 1.922
Te 4.188 -4.114 2.315
Te 4.188 4.114 2.315
Te 6.355 0.000 1.922
Br 0.000 -2.190 5.013
Br 0.000 2.190 5.013